No. 1
Crystalline AcGdGe at its relaxed geometry. Source: Alexandria, functional PBE.

Excess energy over the best structure of this formula in the dataset (meV per atom): 0.0
Spin magnetization (μB per formula unit): 7.86

Cell lengths 5.1830, 5.1830, 5.1830 Å; angles 60.00, 60.00, 60.00 degrees
Each line ends with the local moment (μB).
Atoms (fractional coordinates):
Gd1 0.0000 0.0000 0.0000  7.26
Ac1 0.5000 0.5000 0.5000  0.13
Ge1 0.2500 0.2500 0.2500  -0.06

---

No. 2
Crystalline AcGdGe2 at its relaxed geometry. Source: Alexandria, functional PBE.

Spin magnetization (μB per formula unit): 7.35
Total DFT energy (no corrections) (Ry/atom): -0.543

Cell lengths 3.4221, 5.5790, 5.5790 Å; angles 90.00, 90.00, 90.00 degrees
Each line ends with the local moment (μB).
Atoms (fractional coordinates):
Ge1 0.0000 0.0000 0.5000  -0.01
Ac1 0.5000 0.0000 0.0000  0.03
Ge2 0.0000 0.5000 0.0000  -0.01
Gd1 0.5000 0.5000 0.5000  7.12

---

No. 3
Crystalline AcGdHgGe at its relaxed geometry. Source: Alexandria, functional PBE.

Spin magnetization (μB per formula unit): 7.62
Total DFT energy (no corrections) (Ry/atom): -0.463

Cell lengths 5.4365, 5.4365, 5.4365 Å; angles 60.00, 60.00, 60.00 degrees
Each line ends with the local moment (μB).
Atoms (fractional coordinates):
Ge1 0.2500 0.2500 0.2500  -0.04
Hg1 0.7500 0.7500 0.7500  0.02
Ac1 0.5000 0.5000 0.5000  0.09
Gd1 0.0000 0.0000 0.0000  7.14

---

No. 4
Crystalline AcGdMgGe at its relaxed geometry. Source: Alexandria, functional PBE.

Spin magnetization (μB per formula unit): 7.32
Total DFT energy (no corrections) (Ry/atom): -0.470

Cell lengths 5.4219, 5.4219, 5.4219 Å; angles 60.00, 60.00, 60.00 degrees
Each line ends with the local moment (μB).
Atoms (fractional coordinates):
Ge1 0.5000 0.5000 0.5000  -0.05
Ac1 0.2500 0.2500 0.2500  0.04
Gd1 0.7500 0.7500 0.7500  7.10
Mg1 0.0000 0.0000 0.0000  -0.01